First-principles (GGA-PBEsol) data for a relaxed FeNiSe2 crystal, as listed in Alexandria.

abc: 3.184 3.184 6.246
angles: 90.00 90.00 90.00
Space group P4mm (No. 99)
Unique sites:
Fe  0.000  0.000  0.000
Ni  0.500  0.500  0.226
Se  0.000  0.000  0.368
Se  0.500  0.500  0.848

Results
Polymorph energy (0 for the lowest one): 78 meV/atom
E_form (uncorrected): -196 meV/atom
DFT total energy: -5.9014 eV per atom